Density functional theory data (GGA+U) for Na2CrSiO after structural relaxation.

Computed properties:
Calculated total energy, eV/atom: -3.493

a = 5.5172 Å, b = 5.5172 Å, c = 4.7813 Å
α = 90.00°, β = 90.00°, γ = 90.00°
Atoms (fractional coordinates):
Na (0.0000, 0.5000, 0.0000)
Na (0.5000, 0.0000, 0.0000)
Cr (0.0000, 0.0000, 0.5000)
Si (0.0000, 0.0000, 0.0000)
O (0.5000, 0.5000, 0.5000)